The following is a PBE calculation of a relaxed V2CoAs4 crystal, from the Alexandria database.

## Properties
As for the total energy: -41.7 eV/cell.

Structure (extended XYZ):
```
7
Lattice="-2.5291 -3.1139 2.3134 3.4346 -3.0812 -0.3925 2.8063 -1.1379 6.1711" Properties=species:S:1:pos:R:3 pbc="T T T"
V 0.9500 -2.6835 2.0614
V 2.7618 -4.6495 6.0306
As 1.7173 -1.5406 -0.1963
As 1.8203 -5.4334 3.9461
As 1.8916 -1.8995 4.1459
As -1.2645 -1.5569 1.1567
Co 0.0000 0.0000 0.0000
```

---

The following is a PBE calculation of a relaxed Cu4Os5 crystal, from the Alexandria database.

## Properties
The energy relative to the lowest polymorph listed for this composition comes out at 279 meV/atom.

Structure (extended XYZ):
```
18
Lattice="-7.2318 0.2436 1.4860 -2.8216 -4.2682 5.3280 0.8280 3.7210 3.4193" Properties=species:S:1:pos:R:3 pbc="T T T"
Cu -4.0461 2.9480 3.5235
Cu 0.4140 1.8605 1.7097
Cu -2.3577 1.0166 1.3818
Cu -5.4607 -0.4262 3.7034
Cu 0.0000 0.0000 0.0000
Cu -0.3797 1.2771 4.4540
Cu -3.7646 0.1226 6.5300
Cu -1.6139 -1.8242 4.2933
Os -2.9371 0.5190 3.9810
Os -6.7022 -2.6831 4.5427
Os -0.6746 -0.4033 2.5196
Os -3.3511 -1.3415 2.2713
Os -4.7652 1.0977 1.8765
Os -5.2328 1.6246 5.2509
Os -3.9926 -1.9282 4.9824
Os -6.2883 -0.8225 6.2523
Os -1.3190 -0.1438 6.2277
Os -1.6386 2.8669 3.0288
```